ScZn2Co: optimized geometry, PBE.

Output
energy of formation = -65 kJ/mol of formula units
total magnetization = 0.19 Bohr magnetons per cell
volume = 14.55 A^3/atom

Cell lengths 4.3500, 4.3500, 4.3500 Å; angles 60.00, 60.00, 60.00 degrees
Last column: nearest neighbours and their distance in Å.
Sites, in units of the cell vectors:
Sc  0.7500  0.7500  0.7500  8 Zn 2.66
Zn  0.0000  0.0000  0.0000  4 Co 2.66, 4 Sc 2.66
Co  0.2500  0.2500  0.2500  8 Zn 2.66
Zn  0.5000  0.5000  0.5000  4 Sc 2.66, 4 Co 2.66

NbTl2Mo: optimized geometry, PBE.

Output
total magnetization = 0.15 Bohr magnetons per cell
E_tot = -22.15 eV/cell
volume = 20.35 A^3/atom

Cell lengths 4.8647, 4.8647, 4.8647 Å; angles 60.00, 60.00, 60.00 degrees
Last column: nearest neighbours and their distance in Å.
Sites, in units of the cell vectors:
Mo  0.0000  0.0000  0.0000  4 Tl 2.98, 4 Nb 2.98
Tl  0.7500  0.7500  0.7500  4 Tl 2.98, 4 Mo 2.98
Tl  0.5000  0.5000  0.5000  4 Nb 2.98, 4 Tl 2.98
Nb  0.2500  0.2500  0.2500  4 Tl 2.98, 4 Mo 2.98

Gd6Fe23: optimized geometry, PBE.

Output
energy of formation = -36 kJ/mol of formula units
total magnetization = 50.12 Bohr magnetons per cell
volume = 14.79 A^3/atom

Cell lengths 8.4653, 8.4653, 8.4653 Å; angles 120.00, 90.00, 120.00 degrees
Last column: nearest neighbours and their distance in Å.
Sites, in units of the cell vectors:
Gd  0.7082  0.0000  0.7082  12 Fe 2.90-3.03
Fe  0.0287  0.3524  0.6762  9 Fe 2.45-2.59
Fe  0.5000  0.0000  0.0000  8 Fe 2.45-2.62
Fe  0.1215  0.2429  0.3644  7 Fe 2.52-2.62
Fe  0.5000  0.5000  0.0000  8 Fe 2.45-2.62
Fe  0.3644  0.2429  0.1215  7 Fe 2.52-2.62
Fe  0.6356  0.7571  0.8785  7 Fe 2.52-2.62
Fe  0.0000  0.5000  0.0000  8 Fe 2.45-2.62
Fe  0.1215  0.7571  0.8785  7 Fe 2.52-2.62
Fe  0.3238  0.3524  0.6762  9 Fe 2.45-2.59
Fe  0.9713  0.6476  0.3238  9 Fe 2.45-2.59
Gd  0.2918  0.5836  0.2918  12 Fe 2.90-3.03
Fe  0.8785  0.7571  0.6356  7 Fe 2.52-2.62
Fe  0.6762  0.3524  0.3238  9 Fe 2.45-2.59
Fe  0.6762  0.6476  0.3238  9 Fe 2.45-2.59
Fe  0.6762  0.3524  0.0287  9 Fe 2.45-2.59
Gd  0.7082  0.4164  0.7082  12 Fe 2.90-3.03
Fe  0.1215  0.2429  0.8785  7 Fe 2.52-2.62
Gd  0.2918  0.0000  0.7082  12 Fe 2.90-3.03
Gd  0.2918  0.0000  0.2918  12 Fe 2.90-3.03
Fe  0.0000  0.5000  0.5000  8 Fe 2.45-2.62
Fe  0.8785  0.7571  0.1215  7 Fe 2.52-2.62
Gd  0.7082  0.0000  0.2918  12 Fe 2.90-3.03
Fe  0.3238  0.6476  0.9713  9 Fe 2.45-2.59
Fe  0.5000  0.5000  0.5000  8 Fe 2.45-2.62
Fe  0.8785  0.2429  0.1215  7 Fe 2.52-2.62
Fe  0.3238  0.6476  0.6762  9 Fe 2.45-2.59
Fe  0.0000  0.0000  0.0000  8 Fe 2.52
Fe  0.0000  0.0000  0.5000  8 Fe 2.45-2.62